No. 1
LiNdPuO6, optimized geometry, DFT PBE; density of states at the Fermi level = 2.5 states/eV/f.u.; ΔE_f (raw) = -21.70 eV/f.u.; M_tot = 0.06 μB/f.u.; calculated density = 6.425 g/cm³
1.0
5.359 0.000 0.000
-2.679 4.641 0.000
0.000 0.000 5.104
Li Nd Pu O
1 1 1 6
direct
0.000 0.000 0.000
0.333 0.667 0.500
0.667 0.333 0.000
0.356 0.035 0.218
0.356 0.321 0.782
0.679 0.035 0.782
0.679 0.644 0.218
0.965 0.321 0.218
0.965 0.644 0.782



No. 2
NaSbPbAu, optimized geometry, DFT PBE; density of states at the Fermi level = 1.9 states/eV/f.u.; ΔE_f (raw) = -0.08 eV/f.u.; M_tot = 0.00 μB/f.u.; distance to the lowest polymorph of the same formula = 87 meV/atom; calculated density = 6.812 g/cm³
1.0
7.643 0.000 0.000
0.000 4.425 0.000
-2.545 0.000 7.913
Na Sb Pb Au
2 2 2 2
direct
0.000 0.000 0.000
0.500 0.500 0.000
0.446 0.000 0.340
0.946 0.500 0.340
0.360 0.500 0.582
0.860 0.000 0.582
0.232 0.500 0.196
0.732 0.000 0.196



No. 3
BeCu2Os, optimized geometry, DFT PBE; density of states at the Fermi level = 2.8 states/eV/f.u.; M_tot = 0.00 μB/f.u.; calculated density = 11.484 g/cm³; E_form = 0.280 eV per atom
1.0
3.692 0.000 0.000
0.000 3.692 0.000
0.000 0.000 6.923
Be Cu Os
2 4 2
direct
0.000 0.000 0.000
0.500 0.500 0.500
0.000 0.000 0.500
0.000 0.500 0.750
0.500 0.000 0.250
0.500 0.500 0.000
0.000 0.500 0.250
0.500 0.000 0.750



No. 4
VNi5Pd4, optimized geometry, DFT PBE; density of states at the Fermi level = 15.1 states/eV/f.u.; M_tot = 2.91 μB/f.u.; calculated density = 9.614 g/cm³; E_form = 0.073 eV per atom
1.0
6.357 -1.311 0.000
6.357 1.311 0.000
-3.307 0.000 7.981
V Ni Pd
1 5 4
direct
0.000 0.000 0.000
0.000 0.000 0.500
0.291 0.291 0.870
0.321 0.321 0.410
0.679 0.679 0.590
0.709 0.709 0.130
0.113 0.113 0.308
0.404 0.404 0.186
0.596 0.596 0.814
0.887 0.887 0.692



No. 5
ZnMoCl2, optimized geometry, DFT PBE; density of states at the Fermi level = 2.2 states/eV/f.u.; ΔE_f (raw) = 2.05 eV/f.u.; M_tot = 4.01 μB/f.u.; distance to the lowest polymorph of the same formula = 836 meV/atom; calculated density = 4.788 g/cm³
1.0
4.544 0.000 0.000
0.000 4.544 0.000
0.000 0.000 3.902
Zn Mo Cl
1 1 2
direct
0.000 0.000 0.000
0.500 0.500 0.000
0.000 0.500 0.500
0.500 0.000 0.500



No. 6
Cr2FeC, optimized geometry, DFT PBE; density of states at the Fermi level = 3.7 states/eV/f.u.; M_tot = 1.18 μB/f.u.; calculated density = 6.877 g/cm³; E_form = 0.076 eV per atom
1.0
2.767 0.000 0.000
-1.383 2.396 0.000
0.000 0.000 18.777
Cr Fe C
6 3 3
direct
0.000 0.000 0.000
0.000 0.000 0.215
0.333 0.667 0.667
0.333 0.667 0.882
0.667 0.333 0.333
0.667 0.333 0.549
0.000 0.000 0.439
0.333 0.667 0.105
0.667 0.333 0.772
0.000 0.000 0.607
0.333 0.667 0.273
0.667 0.333 0.940



No. 7
NpMnCo17, optimized geometry, DFT PBE; density of states at the Fermi level = 21.5 states/eV/f.u.; M_tot = 26.35 μB/f.u.; calculated density = 9.289 g/cm³; E_form = 0.060 eV per atom
1.0
4.082 2.357 4.007
-4.082 2.357 4.007
0.000 -4.714 4.007
Np Mn Co
1 1 17
direct
0.000 0.000 0.000
0.312 0.312 0.312
0.000 0.000 0.503
0.000 0.503 0.000
0.152 0.646 0.646
0.300 0.300 0.808
0.300 0.808 0.300
0.354 0.650 0.946
0.354 0.946 0.650
0.503 0.000 0.000
0.550 0.550 0.550
0.646 0.152 0.646
0.646 0.646 0.152
0.650 0.354 0.946
0.650 0.946 0.354
0.747 0.747 0.747
0.808 0.300 0.300
0.946 0.354 0.650
0.946 0.650 0.354



No. 8
Th8TcTe4S3, optimized geometry, DFT PBE; density of states at the Fermi level = 12.1 states/eV/f.u.; ΔE_f (raw) = -20.06 eV/f.u.; M_tot = 0.00 μB/f.u.; calculated density = 9.486 g/cm³
1.0
4.184 2.415 7.394
-4.184 2.415 7.394
0.000 -4.831 7.394
Th Tc Te S
8 1 4 3
direct
0.236 0.236 0.236
0.242 0.733 0.733
0.267 0.267 0.758
0.267 0.758 0.267
0.733 0.242 0.733
0.733 0.733 0.242
0.758 0.267 0.267
0.764 0.764 0.764
0.500 0.500 0.500
0.000 0.000 0.000
0.000 0.500 0.500
0.500 0.000 0.500
0.500 0.500 0.000
0.000 0.000 0.500
0.000 0.500 0.000
0.500 0.000 0.000



What did the fifth record say?
ZnMoCl2, optimized geometry, DFT PBE; density of states at the Fermi level = 2.2 states/eV/f.u.; ΔE_f (raw) = 2.05 eV/f.u.; M_tot = 4.01 μB/f.u.; distance to the lowest polymorph of the same formula = 836 meV/atom; calculated density = 4.788 g/cm³
1.0
4.544 0.000 0.000
0.000 4.544 0.000
0.000 0.000 3.902
Zn Mo Cl
1 1 2
direct
0.000 0.000 0.000
0.500 0.500 0.000
0.000 0.500 0.500
0.500 0.000 0.500